Record 1
Entry from Alexandria via LeMat-Bulk: an optimized crystal structure of Nd3Dy5Ho2 (PBE).

Summary:
ΔE_f = 296 meV per atom
E above lowest polymorph = 103.3 meV/atom
Density of states at the Fermi level = 27.1 states/eV per cell
Final energy = -4.351 eV/atom

Structure (POSCAR):
```
Nd3Dy5Ho2
1.0
6.4113 0.0000 0.0000
3.2057 10.0197 -3.1162
3.2056 -0.3455 10.4874
Ho Dy Nd
4 10 6
Direct
0.9052 0.2632 0.9263 Ho
0.5948 0.0737 0.7368 Ho
0.0948 0.7368 0.0737 Ho
0.4052 0.9263 0.2632 Ho
0.7372 0.5954 0.9302 Dy
0.7500 0.5000 0.5000 Dy
0.2372 0.9302 0.5954 Dy
0.9976 0.2524 0.2524 Dy
0.5024 0.7476 0.7476 Dy
0.4976 0.2524 0.2524 Dy
0.2500 0.5000 0.5000 Dy
0.2628 0.4046 0.0698 Dy
0.7628 0.0698 0.4046 Dy
0.0024 0.7476 0.7476 Dy
0.4113 0.4209 0.7564 Nd
0.7500 0.0000 0.0000 Nd
0.2500 0.0000 0.0000 Nd
0.0887 0.2436 0.5791 Nd
0.5887 0.5791 0.2436 Nd
0.9113 0.7564 0.4209 Nd
```

Record 2
Entry from Alexandria via LeMat-Bulk: an optimized crystal structure of Nd7DyHo12 (PBE).

Summary:
ΔE_f = 647 meV per atom
E above lowest polymorph = 415.7 meV/atom
Density of states at the Fermi level = 28.3 states/eV per cell
Final energy = -3.999 eV/atom

Structure (POSCAR):
```
Nd7DyHo12
1.0
-6.9409 6.2930 -2.8100
3.0850 -5.1217 -7.7411
-3.6594 -6.1104 6.7042
Nd Ho Dy
7 12 1
Direct
0.0000 0.0000 0.5000 Nd
0.5000 0.0000 0.5000 Nd
0.5000 0.5000 0.5000 Nd
0.0000 0.5000 0.5000 Nd
0.5000 0.0000 0.0000 Nd
0.5000 0.5000 0.0000 Nd
0.0000 0.5000 0.0000 Nd
0.2459 0.9994 0.7535 Ho
0.7535 0.7541 0.5076 Ho
0.7541 0.5076 0.7535 Ho
0.0006 0.2465 0.7541 Ho
0.4924 0.2465 0.2459 Ho
0.7535 0.2459 0.9994 Ho
0.5076 0.7535 0.7541 Ho
0.2465 0.2459 0.4924 Ho
0.2465 0.7541 0.0006 Ho
0.7541 0.0006 0.2465 Ho
0.2459 0.4924 0.2465 Ho
0.9994 0.7535 0.2459 Ho
0.0000 0.0000 0.0000 Dy
```

Record 3
Entry from Alexandria via LeMat-Bulk: an optimized crystal structure of NdDy12Ho7 (PBE).

Summary:
ΔE_f = 303 meV per atom
E above lowest polymorph = 0.0 meV/atom
Density of states at the Fermi level = 18.0 states/eV per cell
Final energy = -4.299 eV/atom

Structure (POSCAR):
```
NdDy12Ho7
1.0
8.5630 0.7462 1.1200
-1.6643 8.4328 1.1200
-1.6643 -2.2143 8.2136
Ho Dy Nd
7 12 1
Direct
0.5000 0.5000 0.5000 Ho
0.9192 0.6491 0.9847 Ho
0.9847 0.9192 0.6491 Ho
0.3509 0.0153 0.0808 Ho
0.6491 0.9847 0.9192 Ho
0.0808 0.3509 0.0153 Ho
0.0153 0.0808 0.3509 Ho
0.2504 0.6804 0.8107 Dy
0.1458 0.4129 0.4754 Dy
0.4754 0.1458 0.4129 Dy
0.8107 0.2504 0.6804 Dy
0.4129 0.4754 0.1458 Dy
0.5871 0.5246 0.8542 Dy
0.7496 0.3196 0.1893 Dy
0.3196 0.1893 0.7496 Dy
0.8542 0.5871 0.5246 Dy
0.5246 0.8542 0.5871 Dy
0.1893 0.7496 0.3196 Dy
0.6804 0.8107 0.2504 Dy
0.0000 0.0000 0.0000 Nd
```

Record 4
Entry from Alexandria via LeMat-Bulk: an optimized crystal structure of Nd19Dy4Ho6 (PBE).

Summary:
ΔE_f = 363 meV per atom
Density of states at the Fermi level = 41.7 states/eV per cell
Final energy = -4.343 eV/atom

Structure (POSCAR):
```
Nd19Dy4Ho6
1.0
2.0644 -5.3355 -9.3849
5.1755 -5.0307 8.2894
-10.8248 0.0077 1.9053
Ho Nd Dy
6 19 4
Direct
0.8754 0.3754 0.5000 Ho
0.5000 0.1246 0.6246 Ho
0.5000 0.8754 0.3754 Ho
0.3754 0.5000 0.8754 Ho
0.6246 0.5000 0.1246 Ho
0.1246 0.6246 0.5000 Ho
0.7807 0.9812 0.3243 Nd
0.2193 0.5436 0.2005 Nd
0.0000 0.0000 0.0000 Nd
0.7400 0.0000 0.7400 Nd
0.0000 0.7400 0.7400 Nd
0.3243 0.7807 0.9812 Nd
0.2005 0.2193 0.5436 Nd
0.7995 0.3431 0.0188 Nd
0.3431 0.0188 0.7995 Nd
0.4564 0.6757 0.6569 Nd
0.7400 0.7400 0.0000 Nd
0.6757 0.6569 0.4564 Nd
0.6569 0.4564 0.6757 Nd
0.9812 0.3243 0.7807 Nd
0.5436 0.2005 0.2193 Nd
0.0188 0.7995 0.3431 Nd
0.0000 0.2600 0.2600 Nd
0.2600 0.2600 0.0000 Nd
0.2600 0.0000 0.2600 Nd
0.3607 0.3607 0.3607 Dy
0.0000 0.0000 0.6393 Dy
0.0000 0.6393 0.0000 Dy
0.6393 0.0000 0.0000 Dy
```

Record 5
Entry from Alexandria via LeMat-Bulk: an optimized crystal structure of Nd5DyHo3 (PBE).

Summary:
ΔE_f = 479 meV per atom
E above lowest polymorph = 203.6 meV/atom
Density of states at the Fermi level = 27.8 states/eV per cell
Final energy = -4.207 eV/atom

Structure (POSCAR):
```
Nd5DyHo3
1.0
-5.4461 4.8153 -6.3173
1.7258 -4.2093 -8.4888
-7.9261 -4.5045 -7.4578
Nd Dy Ho
10 2 6
Direct
0.6596 0.1546 0.7381 Nd
0.8454 0.3404 0.2619 Nd
0.2537 0.7463 0.0000 Nd
0.8230 0.8230 0.9510 Nd
0.3404 0.8454 0.2619 Nd
0.5086 0.5086 0.7623 Nd
0.1546 0.6596 0.7381 Nd
0.4914 0.4914 0.2377 Nd
0.7463 0.2537 0.0000 Nd
0.1770 0.1770 0.0490 Nd
0.8433 0.8433 0.4083 Dy
0.1567 0.1567 0.5917 Dy
0.3174 0.3174 0.1754 Ho
0.6626 0.6626 0.3515 Ho
0.0000 0.0000 0.5000 Ho
0.0000 0.0000 0.0000 Ho
0.6826 0.6826 0.8246 Ho
0.3374 0.3374 0.6485 Ho
```

Record 6
Entry from Alexandria via LeMat-Bulk: an optimized crystal structure of Nd2DyHo (PBE).

Summary:
ΔE_f = 12 meV per atom
E above lowest polymorph = 0.0 meV/atom
Density of states at the Fermi level = 4.5 states/eV per cell
Final energy = -4.667 eV/atom

Structure (POSCAR):
```
Nd2DyHo
1.0
3.6118 0.0000 0.0000
1.8059 3.1279 0.0000
1.8059 1.0426 11.6898
Nd Ho Dy
2 1 1
Direct
0.7498 0.7498 0.7505 Nd
0.2502 0.2502 0.2495 Nd
0.0000 0.0000 0.0000 Ho
0.5000 0.5000 0.5000 Dy
```

Which formula does entry 4 have?
Nd19Dy4Ho6